# 1
A geometry-optimized Ca2AsRu structure. Source: Alexandria, functional PBE.

Calculated values
energy relative to the elements	-0.14	eV per atom
crystal system	tetragonal

Unit cell a=3.2290 b=3.2290 c=8.3635 alpha=90.00 beta=90.00 gamma=90.00
With the nearest neighbours (Å) after each atom.
Atoms (fractional coordinates):
1 Ca 0.0000 0.0000 0.2395  4 Ru 3.04, 4 As 3.16, 4 Ca 3.23
2 Ca 0.0000 0.0000 0.7605  4 Ru 3.04, 4 As 3.16, 4 Ca 3.23
3 As 0.5000 0.5000 0.5000  8 Ca 3.16, 4 As 3.23
4 Ru 0.5000 0.5000 0.0000  8 Ca 3.04, 4 Ru 3.23

---

# 2
A geometry-optimized TaAsCBr2 structure. Source: Alexandria, functional PBE.

Calculated values
crystal system	tetragonal
formation energy from raw total energies	1.54	eV/atom

Unit cell a=4.4769 b=4.4769 c=4.4628 alpha=90.00 beta=90.00 gamma=90.00
With the nearest neighbours (Å) after each atom.
Atoms (fractional coordinates):
1 Ta 0.0000 0.0000 0.0000  8 Br 3.16, 4 As 3.17
2 As 0.5000 0.5000 0.0000  2 C 2.23
3 C 0.5000 0.5000 0.5000  2 As 2.23, 4 Br 2.24
4 Br 0.0000 0.5000 0.5000  2 C 2.24
5 Br 0.5000 0.0000 0.5000  2 C 2.24

---

# 3
A geometry-optimized Na2ZrGeO5 structure. Source: Alexandria, functional PBE.

Calculated values
crystal system	monoclinic
formation energy from raw total energies	-2.30	eV/atom

Unit cell a=14.3161 b=5.6233 c=14.0494 alpha=90.00 beta=119.14 gamma=90.00
With the nearest neighbours (Å) after each atom.
Atoms (fractional coordinates):
1 Na 0.0766 0.2310 0.1489  5 O 2.38-2.58
2 Na 0.0766 0.2690 0.6489  5 O 2.38-2.58
3 Na 0.1793 0.7312 0.8288  5 O 2.38-2.54
4 Na 0.1793 0.7688 0.3288  5 O 2.38-2.54
5 Na 0.3216 0.2452 0.6504  4 O 2.39-2.56
6 Na 0.3216 0.2548 0.1504  4 O 2.39-2.56
7 Na 0.4223 0.7308 0.0695  5 O 2.39-2.54
8 Na 0.4223 0.7692 0.5695  5 O 2.39-2.54
9 Na 0.5777 0.2308 0.4305  5 O 2.39-2.54
10 Na 0.5777 0.2692 0.9305  5 O 2.39-2.54
11 Na 0.6784 0.7452 0.8496  4 O 2.39-2.56
12 Na 0.6784 0.7548 0.3496  4 O 2.39-2.56
13 Na 0.8207 0.2312 0.6712  5 O 2.38-2.54
14 Na 0.8207 0.2688 0.1712  5 O 2.38-2.54
15 Na 0.9234 0.7310 0.3511  5 O 2.38-2.58
16 Na 0.9234 0.7690 0.8511  5 O 2.38-2.58
17 Zr 0.0629 0.2331 0.8691  6 O 2.04-2.20
18 Zr 0.0629 0.2669 0.3691  6 O 2.04-2.20
19 Zr 0.4362 0.7369 0.8048  6 O 2.04-2.22
20 Zr 0.4362 0.7631 0.3048  6 O 2.04-2.22
21 Zr 0.5638 0.2369 0.6952  6 O 2.04-2.22
22 Zr 0.5638 0.2631 0.1952  6 O 2.04-2.22
23 Zr 0.9371 0.7331 0.6309  6 O 2.04-2.20
24 Zr 0.9371 0.7669 0.1309  6 O 2.04-2.20
25 Ge 0.1582 0.7137 0.0660  4 O 1.76-1.79
26 Ge 0.1582 0.7863 0.5660  4 O 1.76-1.79
27 Ge 0.3401 0.2202 0.9074  4 O 1.76-1.79
28 Ge 0.3401 0.2798 0.4074  4 O 1.76-1.79
29 Ge 0.6599 0.7202 0.5926  4 O 1.76-1.79
30 Ge 0.6599 0.7798 0.0926  4 O 1.76-1.79
31 Ge 0.8418 0.2137 0.4340  4 O 1.76-1.79
32 Ge 0.8418 0.2863 0.9340  4 O 1.76-1.79
33 O 0.0021 0.5241 0.7713  2 Zr 2.04-2.09
34 O 0.0021 0.9759 0.2713  2 Zr 2.04-2.09
35 O 0.0895 0.6914 0.6354  1 Ge 1.77
36 O 0.0895 0.8086 0.1354  1 Ge 1.77
37 O 0.1217 0.6010 0.4524  1 Ge 1.76
38 O 0.1217 0.8990 0.9524  1 Ge 1.76
39 O 0.1313 0.0929 0.5290  1 Ge 1.79
40 O 0.1313 0.4071 0.0290  1 Ge 1.79
41 O 0.2026 0.2158 0.3554  1 Ge 1.77
42 O 0.2026 0.2842 0.8554  1 Ge 1.77
43 O 0.2985 0.7317 0.1502  1 Ge 1.77
44 O 0.2985 0.7683 0.6502  1 Ge 1.77
45 O 0.3586 0.5880 0.3900  1 Ge 1.79
46 O 0.3586 0.9120 0.8900  1 Ge 1.79
47 O 0.3833 0.0980 0.3345  1 Ge 1.76
48 O 0.3833 0.4020 0.8345  1 Ge 1.76
49 O 0.4126 0.2027 0.5472  1 Ge 1.77
50 O 0.4126 0.2973 0.0472  1 Ge 1.77
51 O 0.4956 0.0326 0.7687  2 Zr 2.04-2.08
52 O 0.4956 0.4674 0.2687  2 Zr 2.04-2.08
53 O 0.5044 0.5326 0.7313  2 Zr 2.04-2.08
54 O 0.5044 0.9674 0.2313  2 Zr 2.04-2.08
55 O 0.5874 0.7027 0.9528  1 Ge 1.77
56 O 0.5874 0.7973 0.4528  1 Ge 1.77
57 O 0.6167 0.5980 0.1655  1 Ge 1.76
58 O 0.6167 0.9020 0.6655  1 Ge 1.76
59 O 0.6414 0.0880 0.1100  1 Ge 1.79
60 O 0.6414 0.4120 0.6100  1 Ge 1.79
61 O 0.7015 0.2317 0.3498  1 Ge 1.77
62 O 0.7015 0.2683 0.8498  1 Ge 1.77
63 O 0.7974 0.7158 0.1446  1 Ge 1.77
64 O 0.7974 0.7842 0.6446  1 Ge 1.77
65 O 0.8687 0.5929 0.9710  1 Ge 1.79
66 O 0.8687 0.9071 0.4710  1 Ge 1.79
67 O 0.8783 0.1010 0.0476  1 Ge 1.76
68 O 0.8783 0.3990 0.5476  1 Ge 1.76
69 O 0.9105 0.1914 0.8646  1 Ge 1.77
70 O 0.9105 0.3086 0.3646  1 Ge 1.77
71 O 0.9979 0.0241 0.7287  2 Zr 2.04-2.09
72 O 0.9979 0.4759 0.2287  2 Zr 2.04-2.09

---

# 4
A geometry-optimized ZnCo2Re structure. Source: Alexandria, functional PBE.

Calculated values
energy relative to the elements	0.15	eV per atom
crystal system	tetragonal

Unit cell a=4.3101 b=4.3101 c=2.6946 alpha=90.00 beta=90.00 gamma=90.00
With the nearest neighbours (Å) after each atom.
Atoms (fractional coordinates):
1 Zn 0.0000 0.0000 0.0000  8 Co 2.54, 2 Zn 2.69
2 Co 0.0000 0.5000 0.5000  4 Re 2.54, 4 Zn 2.54, 2 Co 2.69
3 Co 0.5000 0.0000 0.5000  4 Re 2.54, 4 Zn 2.54, 2 Co 2.69
4 Re 0.5000 0.5000 0.0000  8 Co 2.54, 2 Re 2.69

---

# 5
A geometry-optimized Cs2HF structure. Source: Alexandria, functional PBE.

Calculated values
crystal system	orthorhombic
total energy	-0.2310	Ry per atom

Unit cell a=6.2433 b=6.2456 c=12.4935 alpha=90.00 beta=90.00 gamma=90.00
With the nearest neighbours (Å) after each atom.
Atoms (fractional coordinates):
1 Cs 0.0000 0.2495 0.1325  3 F 3.03-3.12, 3 H 3.12-3.22
2 Cs 0.0000 0.2505 0.6175  3 F 3.03-3.12, 3 H 3.12-3.22
3 Cs 0.0000 0.7495 0.3825  3 F 3.03-3.12, 3 H 3.12-3.22
4 Cs 0.0000 0.7505 0.8675  3 F 3.03-3.12, 3 H 3.12-3.22
5 Cs 0.5000 0.2495 0.3675  3 F 3.03-3.12, 3 H 3.12-3.22
6 Cs 0.5000 0.2505 0.8825  3 F 3.03-3.12, 3 H 3.12-3.22
7 Cs 0.5000 0.7495 0.1175  3 F 3.03-3.12, 3 H 3.12-3.22
8 Cs 0.5000 0.7505 0.6325  3 F 3.03-3.12, 3 H 3.12-3.22
9 H 0.0000 0.2506 0.8750  6 Cs 3.12-3.22
10 H 0.0000 0.7494 0.1250  6 Cs 3.12-3.22
11 H 0.5000 0.2506 0.6250  6 Cs 3.12-3.22
12 H 0.5000 0.7494 0.3750  6 Cs 3.12-3.22
13 F 0.0000 0.2494 0.3750  6 Cs 3.03-3.12
14 F 0.0000 0.7506 0.6250  6 Cs 3.03-3.12
15 F 0.5000 0.2494 0.1250  6 Cs 3.03-3.12
16 F 0.5000 0.7506 0.8750  6 Cs 3.03-3.12

---

# 6
A geometry-optimized TmZn4Cu8 structure. Source: Alexandria, functional PBE.

Calculated values
energy relative to the elements	-0.13	eV per atom
crystal system	tetragonal

Unit cell a=6.5496 b=6.5496 c=6.5496 alpha=98.14 beta=98.14 gamma=135.79
With the nearest neighbours (Å) after each atom.
Atoms (fractional coordinates):
1 Tm 0.0000 0.0000 0.0000  12 Cu 3.04-3.09, 8 Zn 3.27
2 Zn 0.0000 0.0000 0.5000  2 Zn 2.46, 8 Cu 2.49-2.63
3 Zn 0.0000 0.5000 0.0000  2 Zn 2.46, 8 Cu 2.49-2.63
4 Zn 0.5000 0.0000 0.0000  2 Zn 2.46, 8 Cu 2.49-2.63
5 Zn 0.5000 0.5000 0.5000  2 Zn 2.46, 8 Cu 2.49-2.63
6 Cu 0.0000 0.3547 0.3547  5 Cu 2.49-2.73, 4 Zn 2.63
7 Cu 0.0000 0.6453 0.6453  5 Cu 2.49-2.73, 4 Zn 2.63
8 Cu 0.2831 0.5000 0.7831  4 Zn 2.49, 6 Cu 2.63-2.73
9 Cu 0.3547 0.0000 0.3547  5 Cu 2.49-2.73, 4 Zn 2.63
10 Cu 0.5000 0.2831 0.7831  4 Zn 2.49, 6 Cu 2.63-2.73
11 Cu 0.5000 0.7169 0.2169  4 Zn 2.49, 6 Cu 2.63-2.73
12 Cu 0.6453 0.0000 0.6453  5 Cu 2.49-2.73, 4 Zn 2.63
13 Cu 0.7169 0.5000 0.2169  4 Zn 2.49, 6 Cu 2.63-2.73

---

# 7
A geometry-optimized MnCrSb2 structure. Source: Alexandria, functional PBE.

Calculated values
crystal system	orthorhombic
formation energy from raw total energies	0.34	eV/atom

Unit cell a=3.3258 b=3.3258 c=7.4845 alpha=90.00 beta=90.00 gamma=100.76
With the nearest neighbours (Å) after each atom.
Atoms (fractional coordinates):
1 Mn 0.0000 0.0000 0.0000  4 Sb 2.83
2 Cr 0.0000 0.0000 0.5000  4 Sb 2.83
3 Sb 0.5000 0.5000 0.2499  2 Mn 2.83, 2 Cr 2.83
4 Sb 0.5000 0.5000 0.7501  2 Mn 2.83, 2 Cr 2.83

---

# 8
A geometry-optimized TaAgSe2 structure. Source: Alexandria, functional PBE.

Calculated values
crystal system	orthorhombic
formation energy from raw total energies	-0.23	eV/atom

Unit cell a=3.4979 b=7.4669 c=7.4669 alpha=25.95 beta=90.00 gamma=90.00
With the nearest neighbours (Å) after each atom.
Atoms (fractional coordinates):
1 Ta 0.0000 0.0000 0.0000  6 Se 2.55-2.71
2 Ag 0.5000 0.7657 0.7657  5 Se 2.64-2.84
3 Se 0.0000 0.3680 0.3680  2 Ta 2.55, 4 Ag 2.84
4 Se 0.5000 0.5842 0.5842  1 Ag 2.64, 4 Ta 2.71

---

# 9
A geometry-optimized TbDy5Y2 structure. Source: Alexandria, functional PBE.

Calculated values
energy relative to the elements	0.02	eV per atom
crystal system	orthorhombic

Unit cell a=7.1074 b=14.2151 c=5.0174 alpha=90.00 beta=90.00 gamma=90.00
With the nearest neighbours (Å) after each atom.
Atoms (fractional coordinates):
1 Tb 0.0000 0.0000 0.0000  4 Y 3.55, 8 Dy 3.55-3.56
2 Tb 0.5000 0.5000 0.0000  4 Y 3.55, 8 Dy 3.55-3.56
3 Dy 0.0000 0.5000 0.0000  6 Dy 3.55, 4 Y 3.55, 2 Tb 3.55
4 Dy 0.0006 0.2501 0.0000  4 Y 3.55, 7 Dy 3.55, 1 Tb 3.56
5 Dy 0.2495 0.6252 0.5000  6 Dy 3.55, 4 Y 3.55-3.56, 2 Tb 3.55
6 Dy 0.2505 0.1252 0.5000  6 Dy 3.55, 4 Y 3.55-3.56, 2 Tb 3.55
7 Dy 0.4994 0.7501 0.0000  4 Y 3.55, 7 Dy 3.55, 1 Tb 3.56
8 Dy 0.5000 0.0000 0.0000  6 Dy 3.55, 4 Y 3.55, 2 Tb 3.55
9 Dy 0.5006 0.2499 0.0000  4 Y 3.55, 7 Dy 3.55, 1 Tb 3.56
10 Dy 0.7495 0.8748 0.5000  6 Dy 3.55, 4 Y 3.55-3.56, 2 Tb 3.55
11 Dy 0.7505 0.3748 0.5000  6 Dy 3.55, 4 Y 3.55-3.56, 2 Tb 3.55
12 Dy 0.9994 0.7499 0.0000  4 Y 3.55, 7 Dy 3.55, 1 Tb 3.56
13 Y 0.2504 0.3750 0.5000  10 Dy 3.55-3.56, 2 Tb 3.55
14 Y 0.2496 0.8750 0.5000  10 Dy 3.55-3.56, 2 Tb 3.55
15 Y 0.7504 0.1250 0.5000  10 Dy 3.55-3.56, 2 Tb 3.55
16 Y 0.7496 0.6250 0.5000  10 Dy 3.55-3.56, 2 Tb 3.55

---

# 10
A geometry-optimized Pa2TeH2C structure. Source: Alexandria, functional PBE.

Calculated values
crystal system	trigonal
total energy	-0.5085	Ry per atom

Unit cell a=3.7433 b=3.7433 c=7.5906 alpha=90.00 beta=90.00 gamma=120.00
With the nearest neighbours (Å) after each atom.
Atoms (fractional coordinates):
1 Pa 0.3333 0.6667 0.3159  3 H 2.20
2 Pa 0.6667 0.3333 0.6841  3 H 2.20
3 Te 0.0000 0.0000 0.0000  6 H 2.93, 6 Pa 3.23
4 H 0.3333 0.6667 0.7387  3 Pa 2.20
5 H 0.6667 0.3333 0.2613  3 Pa 2.20
6 C 0.0000 0.0000 0.5000  6 Pa 2.57, 6 H 2.82

---

# 11
A geometry-optimized ScNb3Mo structure. Source: Alexandria, functional PBE.

Calculated values
energy relative to the elements	0.94	eV per atom
crystal system	cubic

Unit cell a=4.8625 b=4.8625 c=4.8625 alpha=90.00 beta=90.00 gamma=90.00
With the nearest neighbours (Å) after each atom.
Atoms (fractional coordinates):
1 Sc 0.0000 0.0000 0.0000  12 Nb 3.44
2 Nb 0.0000 0.5000 0.5000  2 Mo 2.43
3 Nb 0.5000 0.0000 0.5000  2 Mo 2.43
4 Nb 0.5000 0.5000 0.0000  2 Mo 2.43
5 Mo 0.5000 0.5000 0.5000  6 Nb 2.43

---

# 12
A geometry-optimized AlZnRu2 structure. Source: Alexandria, functional PBE.

Calculated values
energy relative to the elements	-0.04	eV per atom
crystal system	trigonal

Unit cell a=8.7462 b=8.7462 c=8.7462 alpha=18.33 beta=18.33 gamma=18.33
With the nearest neighbours (Å) after each atom.
Atoms (fractional coordinates):
1 Al 0.0000 0.0000 0.0000  3 Ru 2.64, 3 Zn 2.78, 6 Al 2.79
2 Zn 0.2455 0.2455 0.2455  3 Ru 2.72, 3 Al 2.78, 6 Zn 2.79
3 Ru 0.4939 0.4939 0.4939  9 Ru 2.60-2.79, 3 Zn 2.72
4 Ru 0.7478 0.7478 0.7478  9 Ru 2.60-2.79, 3 Al 2.64